1.
Sc4IrW: relaxed, GGA-PBEsol.

a = 5.336 Å, b = 5.336 Å, c = 5.336 Å
α = 60.00°, β = 60.00°, γ = 60.00°
Fractional positions:
1 Ir 0.000 0.000 0.000
2 Sc 0.375 0.375 0.375
3 Sc 0.375 0.375 0.875
4 Sc 0.875 0.375 0.375
5 Sc 0.375 0.875 0.375
6 W 0.750 0.750 0.750

Values from the calculation:
Spin magnetization in μB per formula unit: 0.00
Total DFT energy (no corrections) in eV per atom: -7.793
Space-group type: F-43m (216)
Formation enthalpy at 0 K in eV/f.u.: 3.29

2.
ScIr2W: relaxed, GGA-PBEsol.

a = 2.858 Å, b = 4.704 Å, c = 4.704 Å
α = 103.70°, β = 90.00°, γ = 90.00°
Fractional positions:
1 Ir 0.000 0.500 0.000
2 Ir 0.000 0.000 0.500
3 Sc 0.500 0.000 0.000
4 W 0.500 0.500 0.500

Values from the calculation:
Spin magnetization in μB per formula unit: 0.00
Total DFT energy (no corrections) in eV per atom: -10.479
Space-group type: Cmmm (65)
Formation enthalpy at 0 K in eV/f.u.: -1.86

3.
YSc2Ir: relaxed, GGA-PBEsol.

a = 4.835 Å, b = 4.835 Å, c = 4.835 Å
α = 60.00°, β = 60.00°, γ = 60.00°
Fractional positions:
1 Ir 0.250 0.250 0.250
2 Sc 0.000 0.000 0.000
3 Sc 0.750 0.750 0.750
4 Y 0.500 0.500 0.500

Values from the calculation:
Spin magnetization in μB per formula unit: 0.49
Total DFT energy (no corrections) in eV per atom: -7.780
Space-group type: F-43m (216)
Formation enthalpy at 0 K in eV/f.u.: -1.26

4.
YSc2Ir2: relaxed, GGA-PBEsol.

a = 4.180 Å, b = 4.180 Å, c = 6.553 Å
α = 108.60°, β = 108.60°, γ = 90.00°
Fractional positions:
1 Y 0.000 0.000 0.000
2 Sc 0.250 0.750 0.500
3 Sc 0.750 0.250 0.500
4 Ir 0.391 0.391 0.783
5 Ir 0.609 0.609 0.217

Values from the calculation:
Spin magnetization in μB per formula unit: 0.00
Total DFT energy (no corrections) in eV per atom: -8.680
Space-group type: I4/mmm (139)
Formation enthalpy at 0 K in eV/f.u.: -3.72

5.
Y2ScIr2: relaxed, GGA-PBEsol.

a = 4.109 Å, b = 7.138 Å, c = 7.138 Å
α = 90.00°, β = 90.00°, γ = 90.00°
Fractional positions:
1 Y 0.500 0.171 0.671
2 Y 0.500 0.671 0.829
3 Y 0.500 0.829 0.329
4 Y 0.500 0.329 0.171
5 Sc 0.000 0.000 0.000
6 Sc 0.000 0.500 0.500
7 Ir 0.000 0.366 0.866
8 Ir 0.000 0.866 0.634
9 Ir 0.000 0.634 0.134
10 Ir 0.000 0.134 0.366

Values from the calculation:
Spin magnetization in μB per formula unit: 0.00
Total DFT energy (no corrections) in eV per atom: -8.713
Space-group type: P4/mbm (127)
Formation enthalpy at 0 K in eV/f.u.: -3.67

6.
YScIr: relaxed, GGA-PBEsol.

a = 4.604 Å, b = 4.604 Å, c = 4.604 Å
α = 60.00°, β = 60.00°, γ = 60.00°
Fractional positions:
1 Y 0.500 0.500 0.500
2 Sc 0.000 0.000 0.000
3 Ir 0.750 0.750 0.750

Values from the calculation:
Spin magnetization in μB per formula unit: 0.00
Total DFT energy (no corrections) in eV per atom: -8.380
Space-group type: F-43m (216)
Formation enthalpy at 0 K in eV/f.u.: -1.89

7.
Y2ScIr: relaxed, GGA-PBEsol.

a = 3.496 Å, b = 5.038 Å, c = 6.084 Å
α = 114.46°, β = 106.69°, γ = 90.00°
Fractional positions:
1 Y 0.000 0.000 0.999
2 Y 0.796 0.296 0.591
3 Sc 0.196 0.696 0.393
4 Ir 0.508 0.508 0.017

Values from the calculation:
Spin magnetization in μB per formula unit: 0.00
Total DFT energy (no corrections) in eV per atom: -8.001
Space-group type: Imm2 (44)
Formation enthalpy at 0 K in eV/f.u.: -1.93

8.
YSc2Ir: relaxed, GGA-PBEsol.

a = 3.407 Å, b = 4.944 Å, c = 5.914 Å
α = 114.71°, β = 106.74°, γ = 90.00°
Fractional positions:
1 Y 0.500 0.000 0.000
2 Sc 0.703 0.703 0.407
3 Sc 0.297 0.297 0.593
4 Ir 0.000 0.500 0.000

Values from the calculation:
Spin magnetization in μB per formula unit: 0.00
Total DFT energy (no corrections) in eV per atom: -7.987
Space-group type: Immm (71)
Formation enthalpy at 0 K in eV/f.u.: -2.09